KU3Au4S12 | PBE | optimized geometry

Cell lengths 8.948, 8.948, 8.948 Å; angles 108.92, 108.92, 108.92 degrees
Atoms (fractional coordinates):
K: 0.000 0.000 0.000
U: 0.000 0.564 0.436
U: 0.436 0.000 0.564
U: 0.564 0.436 0.000
Au: 0.161 0.500 0.839
Au: 0.500 0.500 0.500
Au: 0.500 0.839 0.161
Au: 0.839 0.161 0.500
S: 0.048 0.674 0.752
S: 0.109 0.891 0.500
S: 0.248 0.326 0.952
S: 0.326 0.952 0.248
S: 0.335 0.665 0.500
S: 0.500 0.109 0.891
S: 0.500 0.335 0.665
S: 0.665 0.500 0.335
S: 0.674 0.752 0.048
S: 0.752 0.048 0.674
S: 0.891 0.500 0.109
S: 0.952 0.248 0.326

Properties
Symmetry ... R32
Formation energy (no corrections) ... -1328 kJ/mol of formula units